The following is a PBE-GGA calculation of crystalline BaCdIn2 at its relaxed geometry, from Alexandria via LeMat-Bulk.

Lattice parameters (Å, degrees): 3.952 3.952 8.017 90.00 90.00 90.00
Fractional positions:
Cd: 0.500 0.500 0.799
Ba: 0.000 0.000 0.504
In: 0.000 0.000 0.996
In: 0.500 0.500 0.201

Calculated values
Final energy = -2.3072 eV/atom
Calculated formation energy = -0.229 eV/atom

---

The following is a PBE-GGA calculation of crystalline Ba4CdIn2 at its relaxed geometry, from Alexandria via LeMat-Bulk.

Lattice parameters (Å, degrees): 6.033 6.033 10.436 73.20 73.20 60.00
Fractional positions:
In: 0.750 0.750 0.751
In: 0.250 0.250 0.249
Ba: 0.875 0.875 0.374
Ba: 0.125 0.125 0.626
Ba: 0.625 0.625 0.124
Ba: 0.375 0.375 0.876
Cd: 0.000 0.000 0.000

Calculated values
Final energy = -2.3192 eV/atom
Calculated formation energy = -0.307 eV/atom

---

The following is a PBE-GGA calculation of crystalline Ba6CdIn5 at its relaxed geometry, from Alexandria via LeMat-Bulk.

Lattice parameters (Å, degrees): 6.016 8.632 9.527 90.00 71.59 90.00
Fractional positions:
In: 0.666 0.500 0.668
In: 0.330 0.000 0.341
In: 0.000 0.500 0.000
In: 0.670 0.000 0.659
In: 0.334 0.500 0.332
Ba: 0.834 0.749 0.332
Ba: 0.834 0.251 0.332
Ba: 0.500 0.249 0.000
Ba: 0.500 0.751 0.000
Ba: 0.166 0.749 0.668
Ba: 0.166 0.251 0.668
Cd: 0.000 0.000 0.000

Calculated values
Final energy = -2.5617 eV/atom
Calculated formation energy = -0.383 eV/atom

---

The following is a PBE-GGA calculation of crystalline Ba3CdIn2 at its relaxed geometry, from Alexandria via LeMat-Bulk.

Lattice parameters (Å, degrees): 4.268 4.268 12.869 90.00 90.00 90.00
Fractional positions:
Ba: 0.000 0.000 0.000
Ba: 0.000 0.000 0.670
Ba: 0.000 0.000 0.330
Cd: 0.500 0.500 0.500
In: 0.500 0.500 0.836
In: 0.500 0.500 0.164

Calculated values
Final energy = -2.3974 eV/atom
Calculated formation energy = -0.371 eV/atom

---

The following is a PBE-GGA calculation of crystalline Ba3Cd2In2 at its relaxed geometry, from Alexandria via LeMat-Bulk.

Lattice parameters (Å, degrees): 5.293 6.833 8.460 105.74 90.00 112.79
Fractional positions:
Ba: 0.327 0.653 0.370
Ba: 0.673 0.347 0.630
Ba: 0.500 0.000 0.000
Cd: 0.809 0.619 0.065
Cd: 0.191 0.381 0.935
In: 0.973 0.946 0.665
In: 0.027 0.054 0.335

Calculated values
Final energy = -2.2110 eV/atom
Calculated formation energy = -0.343 eV/atom

---

The following is a PBE-GGA calculation of crystalline BaCdIn2 at its relaxed geometry, from Alexandria via LeMat-Bulk.

Lattice parameters (Å, degrees): 3.933 3.934 7.988 90.00 90.00 90.01
Fractional positions:
Cd: 0.500 0.500 0.750
Ba: 0.500 0.500 0.250
In: 0.000 0.000 0.945
In: 0.000 0.000 0.555

Calculated values
Final energy = -2.3155 eV/atom
Calculated formation energy = -0.237 eV/atom